In2SbAu2, relaxed, DFT GGA-PBE; space-group type = I4/mmm (139); D(E_F) = 1.86 states/eV/cell; ΔE_f (raw) = 18 meV per atom
1.0
-2.8202 -0.1844 3.2437
-0.2839 -4.2649 -0.4892
3.2699 -3.0213 5.5244
Au In Sb
2 2 1
direct
0.3947 0.3947 0.2106
0.6053 0.6053 0.7894
0.2500 0.7500 0.5000
0.7500 0.2500 0.5000
0.0000 0.0000 0.0000



YTcHg2, relaxed, DFT GGA-PBE; ΔE_f = 0.24 eV/atom; space-group type = Pmm2 (25); D(E_F) = 3.02 states/eV/cell
1.0
-2.5733 0.3992 -4.1282
-1.2873 -3.0548 0.5070
-3.9133 2.0889 2.6414
Hg Y Tc
2 1 1
direct
0.0000 0.1250 0.9596
0.5000 0.1247 0.3010
0.5000 0.6245 0.7842
0.0000 0.6258 0.4552



SiAs2Os, relaxed, DFT GGA-PBE; space-group type = R3m (160); D(E_F) = 2.77 states/eV/cell; ΔE_f (raw) = 131 meV per atom
1.0
-8.6929 -3.6629 0.6843
-8.1718 -4.2165 -2.2125
-7.2008 -6.1306 -0.1239
Si As Os
1 2 1
direct
0.7609 0.7609 0.7609
0.0214 0.0214 0.0214
0.2259 0.2259 0.2259
0.4918 0.4918 0.4918



BeRhW2, relaxed, DFT GGA-PBE; ΔE_f = 0.02 eV/atom; space-group type = P4mm (99); D(E_F) = 3.72 states/eV/cell
1.0
3.1370 0.0000 0.0000
0.0000 3.1370 0.0000
0.0000 0.0000 5.7254
W Be Rh
2 1 1
direct
0.0000 0.0000 0.0132
0.5000 0.5000 0.2663
0.0000 0.0000 0.5012
0.5000 0.5000 0.7193



MgZn2P, relaxed, DFT GGA-PBE; ΔE_f = -0.13 eV/atom; space-group type = Pm (6); D(E_F) = 0.87 states/eV/cell
1.0
-1.8920 2.6555 1.4744
-2.5895 -0.3414 -2.7082
-3.8707 -3.6210 1.5546
P Zn Mg
1 2 1
direct
0.5000 0.9667 0.6899
0.5000 0.2092 0.2137
0.0000 0.7987 0.0242
0.0000 0.5253 0.5722



KTaBe2I, relaxed, DFT GGA-PBE; space-group type = P4/mmm (123); D(E_F) = 3.88 states/eV/cell; ΔE_f (raw) = 1335 meV per atom
1.0
4.8635 0.0000 0.0000
0.0000 7.7931 0.0000
0.0000 0.0000 4.8635
I Be K Ta
1 2 1 1
direct
0.5000 0.5000 0.5000
0.5000 0.0000 0.0000
0.0000 0.0000 0.5000
0.0000 0.5000 0.0000
0.0000 0.0000 0.0000



ErThAl2Au2, relaxed, DFT GGA-PBE; ΔE_f = -0.69 eV/atom; space-group type = P-3m1 (164); D(E_F) = 3.74 states/eV/cell
1.0
4.5240 0.0000 0.0000
-2.2620 3.9179 0.0000
0.0000 0.0000 7.4820
Au Al Th Er
2 2 1 1
direct
0.3333 0.6667 0.2742
0.6667 0.3333 0.7258
0.6667 0.3333 0.2684
0.3333 0.6667 0.7316
0.0000 0.0000 0.0000
0.0000 0.0000 0.5000



Ba2GeBiTe5, relaxed, DFT GGA-PBE; space-group type = Cmc2_1 (36); D(E_F) = 2.10 states/eV/cell; ΔE_f (raw) = -883 meV per atom
1.0
-0.3919 -4.0096 -2.6094
7.7973 5.3138 -4.9216
9.1942 -6.0954 7.9854
Ba Bi Ge Te
4 2 2 10
direct
0.8793 0.7586 0.8114
0.1139 0.2278 0.6841
0.8861 0.7722 0.1841
0.1207 0.2414 0.3114
0.7878 0.5756 0.5261
0.2122 0.4244 0.0261
0.4363 0.8726 0.4446
0.5637 0.1274 0.9446
0.3146 0.6293 0.3676
0.3561 0.7122 0.9993
0.0476 0.0953 0.0414
0.6854 0.3707 0.8676
0.9524 0.9047 0.5414
0.5015 0.0030 0.7728
0.2840 0.5680 0.6768
0.7160 0.4320 0.1768
0.4985 0.9970 0.2728
0.6439 0.2878 0.4993



PuHfMo4, relaxed, DFT GGA-PBE; ΔE_f = 0.14 eV/atom; space-group type = F-43m (216); D(E_F) = 13.91 states/eV/cell
1.0
5.4181 0.0000 0.0000
2.7091 4.6922 0.0000
2.7091 1.5641 4.4239
Mo Pu Hf
4 1 1
direct
0.1250 0.6250 0.6250
0.6250 0.6250 0.1250
0.6250 0.6250 0.6250
0.6250 0.1250 0.6250
0.0000 0.0000 0.0000
0.2500 0.2500 0.2500



AgTeF4, relaxed, DFT GGA-PBE; space-group type = I4_1md (109); ΔE_f (raw) = -1494 meV per atom
1.0
-5.9575 3.0173 -1.9521
0.2142 -3.1237 6.2132
4.6403 5.1701 0.3810
Te Ag F
2 2 8
direct
0.4950 0.9950 0.5000
0.7450 0.7450 0.0000
0.2530 0.2530 0.0000
0.0030 0.5030 0.5000
0.1275 0.9670 0.1605
0.2840 0.9567 0.6726
0.7170 0.0565 0.3395
0.7067 0.5340 0.1726
0.7170 0.3775 0.6605
0.8065 0.9670 0.8395
0.2840 0.6114 0.3274
0.3614 0.5340 0.8274



NaCu3As3, relaxed, DFT GGA-PBE; ΔE_f = 0.03 eV/atom; space-group type = R-3 (148); D(E_F) = 9.19 states/eV/cell
1.0
-0.7161 6.5432 2.2865
-4.7267 1.4803 4.9012
2.8722 1.4822 7.2756
Cu Na As
6 2 6
direct
0.7824 0.1253 0.6291
0.5368 0.2176 0.3709
0.1253 0.4632 0.6291
0.2176 0.8747 0.3709
0.4632 0.7824 0.6291
0.8747 0.5368 0.3709
0.3333 0.3333 0.0002
0.6667 0.6667 0.9998
0.9066 0.2286 0.2817
0.7714 0.4169 0.7183
0.5831 0.9066 0.2817
0.4169 0.0934 0.7183
0.2286 0.5831 0.2817
0.0934 0.7714 0.7183



K2AgF5, relaxed, DFT GGA-PBE; space-group type = C2/c (15); D(E_F) = 7.81 states/eV/cell; ΔE_f (raw) = -1978 meV per atom
1.0
-5.6643 -0.3781 1.8244
3.3649 -5.8978 -0.5196
2.1662 3.6817 7.4887
Ag F K
2 10 4
direct
0.0000 0.0000 0.0000
0.0000 0.0000 0.5000
0.9027 0.2651 0.5449
0.9224 0.0000 0.7500
0.1188 0.7431 0.9157
0.6377 0.7349 0.9551
0.6243 0.7431 0.4157
0.3757 0.2569 0.5843
0.3623 0.2651 0.0449
0.0973 0.7349 0.4551
0.8812 0.2569 0.0843
0.0776 0.0000 0.2500
0.3626 0.6660 0.6668
0.6966 0.3340 0.8332
0.6374 0.3340 0.3332
0.3034 0.6660 0.1668